#1
The following is a PBE calculation of a relaxed structure of RbCr2Ga2, from Alexandria.

Lattice parameters (Å, degrees): 5.0170 5.0170 8.3231 90.00 90.00 90.00
Closest atoms and distances in Å follow each position.
Space group I4/mmm (No. 139)
Asymmetric unit:
Rb (0.0000, 0.0000, 0.0000) x2  2 Cr 3.25, 8 Ga 3.26
Cr (0.0000, 0.0000, 0.3907) x4  1 Cr 1.82
Ga (0.0000, 0.5000, 0.2500) x4  4 Cr 2.77

Output
- Fermi-level density of states: 4.5 states/eV/f.u.
- Magnetic moment: 0.0 μB per cell

---

#2
The following is a PBE calculation of a relaxed structure of RbCr2Ga2, from Alexandria.

Lattice parameters (Å, degrees): 8.2358 8.2358 2.7283 90.00 90.00 90.00
Closest atoms and distances in Å follow each position.
Space group P4/mbm (No. 127)
Asymmetric unit:
Rb (0.0000, 0.0000, 0.0000) x2  2 Rb 2.73
Cr (0.0907, 0.4093, 0.0000) x4  1 Cr 2.11
Ga (0.1769, 0.6769, 0.5000) x4  4 Cr 2.69, 2 Ga 2.73

Output
- Fermi-level density of states: 5.7 states/eV/f.u.
- Magnetic moment: 1.6 μB per cell

---

Least stable structure: #1

---

#1
The following is a PBE calculation of a relaxed structure of Cr3GaRh, from Alexandria.

Lattice parameters (Å, degrees): 4.2909 4.2909 4.2909 90.00 90.00 90.00
Closest atoms and distances in Å follow each position.
Space group Pm-3m (No. 221)
Asymmetric unit:
Cr (0.0000, 0.0000, 0.5000) x3  2 Ga 2.15
Ga (0.0000, 0.0000, 0.0000) x1  6 Cr 2.15
Rh (0.5000, 0.5000, 0.5000) x1  12 Cr 3.03

Output
- Fermi-level density of states: 9.4 states/eV/f.u.
- Magnetic moment: 0.0 μB per cell

---

#2
The following is a PBE calculation of a relaxed structure of Cr3GaRh, from Alexandria.

Lattice parameters (Å, degrees): 4.7279 4.7279 4.7279 90.00 90.00 90.00
Closest atoms and distances in Å follow each position.
Space group Pm-3m (No. 221)
Asymmetric unit:
Cr (0.0000, 0.0000, 0.5000) x3  2 Rh 2.36
Ga (0.5000, 0.5000, 0.5000) x1  12 Cr 3.34
Rh (0.0000, 0.0000, 0.0000) x1  6 Cr 2.36

Output
- Fermi-level density of states: 7.9 states/eV/f.u.
- Magnetic moment: 10.6 μB per cell

---

Least stable structure: #1

---

#1
The following is a PBE calculation of a relaxed structure of CrGa2Rh2, from Alexandria.

Lattice parameters (Å, degrees): 7.0870 7.0870 2.8394 90.00 90.00 90.00
Closest atoms and distances in Å follow each position.
Space group P4/mbm (No. 127)
Asymmetric unit:
Cr (0.0000, 0.0000, 0.0000) x2  4 Ga 2.75, 2 Cr 2.84, 8 Rh 3.01
Ga (0.1363, 0.3637, 0.0000) x4  6 Rh 2.45-2.57, 1 Ga 2.73
Rh (0.1640, 0.6640, 0.5000) x4  6 Ga 2.45-2.57

Output
- Fermi-level density of states: 5.6 states/eV/f.u.
- Magnetic moment: 0.0 μB per cell

---

#2
The following is a PBE calculation of a relaxed structure of CrGa2Rh2, from Alexandria.

Lattice parameters (Å, degrees): 7.1509 7.1509 2.8448 90.00 90.00 90.00
Closest atoms and distances in Å follow each position.
Space group P4/mbm (No. 127)
Asymmetric unit:
Cr (0.0000, 0.0000, 0.0000) x2  4 Rh 2.76, 2 Cr 2.84, 8 Ga 3.04
Ga (0.1594, 0.3406, 0.5000) x4  6 Rh 2.47-2.58
Rh (0.1404, 0.6404, 0.0000) x4  6 Ga 2.47-2.58, 2 Cr 2.76

Output
- Fermi-level density of states: 5.7 states/eV/f.u.
- Magnetic moment: 0.4 μB per cell

---

Least stable structure: #2

---

#1
The following is a PBE calculation of a relaxed structure of Cr2GaRh2, from Alexandria.

Lattice parameters (Å, degrees): 3.1577 3.1577 13.9933 90.00 90.00 90.00
Closest atoms and distances in Å follow each position.
Space group I4/mmm (No. 139)
Asymmetric unit:
Cr (0.0000, 0.5000, 0.2500) x4  4 Cr 2.23
Ga (0.0000, 0.0000, 0.0000) x2  8 Rh 2.64
Rh (0.0000, 0.0000, 0.3993) x4  4 Cr 2.62, 4 Ga 2.64, 1 Rh 2.82

Output
- Fermi-level density of states: 4.9 states/eV/f.u.
- Magnetic moment: 0.0 μB per cell

---

#2
The following is a PBE calculation of a relaxed structure of Cr2GaRh2, from Alexandria.

Lattice parameters (Å, degrees): 7.1799 7.1799 2.7317 90.00 90.00 90.00
Closest atoms and distances in Å follow each position.
Space group P4/mbm (No. 127)
Asymmetric unit:
Cr (0.1099, 0.3901, 0.0000) x4  1 Cr 2.23
Ga (0.0000, 0.0000, 0.0000) x2  2 Ga 2.73, 4 Cr 2.91, 8 Rh 2.98
Rh (0.1775, 0.6775, 0.5000) x4  6 Cr 2.52-2.55, 2 Rh 2.73

Output
- Fermi-level density of states: 3.8 states/eV/f.u.
- Magnetic moment: 0.0 μB per cell

---

Least stable structure: #2